A plane-wave DFT calculation with PBE+U was carried out for a relaxed structure of VGaN2F.

```
data_VGaN2F
_cell_length_a 3.866
_cell_length_b 3.866
_cell_length_c 3.797
_cell_angle_alpha 90.00
_cell_angle_beta 90.00
_cell_angle_gamma 90.00
_space_group_name_H-M_alt 'P 4/m m m'
_space_group_IT_number 123
_space_group_name_Hall '-P 4 2'
loop_
_atom_site_label
_atom_site_type_symbol
_atom_site_fract_x
_atom_site_fract_y
_atom_site_fract_z
_atom_site_occupancy
V1 V 0.000 0.000 0.000 1
Ga1 Ga 0.500 0.500 0.500 1
N1 N 0.000 0.500 0.500 1
F1 F 0.500 0.500 0.000 1
```

Calculated values
calculated total energy: -26.86 eV for the cell shown
density of states at the Fermi level: 1.26 states/eV per cell